<1>
PBE TlMo2Pd, optimized geometry; volume = 151 Å³ per cell; crystal system = tetragonal; DOS(E_F) = 1.12 states/eV per atom
1.0
7.5148 0.0000 0.0000
0.0000 7.5148 0.0000
3.7574 3.7574 2.6667
Pd Mo Tl
2 4 2
Cartesian
3.7574 3.7574 0.0000
3.7574 7.5148 1.3333
5.4724 1.8787 0.6667
5.6361 5.7997 2.0000
9.3935 9.2298 2.0000
2.0424 5.6361 0.6667
0.0000 0.0000 0.0000
7.5148 3.7574 1.3333

<2>
PBE TlMo2Pd, optimized geometry; volume = 69 Å³ per cell; crystal system = cubic; DOS(E_F) = 0.69 states/eV per atom
1.0
3.6538 -0.5175 2.7561
-0.5400 -1.7058 4.2442
1.5507 -4.2200 1.0004
Pd Mo Tl
1 2 1
Cartesian
0.0000 0.0000 0.0000
1.1661 -1.6108 2.0002
3.4983 -4.8325 6.0006
2.3322 -3.2217 4.0004

Energies, relative to the best one, in eV/atom: <1> 0.247; <2> 0.000.